(1)
Below is a geometry-optimized TbHoEr2 structure, with properties calculated at the PBE level.

Output
**Crystal system**: tetragonal
**Energy**: -18.245 eV per cell
**Mass density**: 8.89 g cm⁻³
**DFT formation energy**: 0.02 eV per atom

Cell lengths 4.975, 4.975, 4.970 Å; angles 90.00, 90.00, 90.00 degrees
Element x y z (fractional)
Tb (0.000, 0.000, 0.000)
Ho (0.500, 0.500, 0.000)
Er (0.000, 0.500, 0.500)
Er (0.500, 0.000, 0.500)

(2)
Below is a geometry-optimized Ce2TmAg structure, with properties calculated at the PBE level.

Output
**Crystal system**: tetragonal
**Energy**: -18.752 eV per cell
**Mass density**: 8.42 g cm⁻³
**DFT formation energy**: 0.11 eV per atom

Cell lengths 5.620, 5.620, 3.477 Å; angles 90.00, 90.00, 90.00 degrees
Element x y z (fractional)
Ce (0.000, 0.500, 0.000)
Ce (0.500, 0.000, 0.000)
Tm (0.000, 0.000, 0.500)
Ag (0.500, 0.500, 0.500)

(3)
Below is a geometry-optimized SmBi2S6 structure, with properties calculated at the PBE level.

Output
**Energy relative to the elements, uncorrected**: -0.377 eV/atom
**Crystal system**: tetragonal
**Energy**: -81.274 eV per cell
**Mass density**: 4.95 g cm⁻³

Cell lengths 6.331, 6.331, 12.732 Å; angles 90.00, 90.00, 90.00 degrees
Element x y z (fractional)
Sm (0.000, 0.000, 0.000)
Sm (0.500, 0.500, 0.500)
Bi (0.000, 0.000, 0.335)
Bi (0.000, 0.000, 0.665)
Bi (0.500, 0.500, 0.165)
Bi (0.500, 0.500, 0.835)
S (0.191, 0.191, 0.500)
S (0.195, 0.195, 0.170)
S (0.195, 0.195, 0.830)
S (0.305, 0.695, 0.330)
S (0.305, 0.695, 0.670)
S (0.309, 0.691, 0.000)
S (0.691, 0.309, 0.000)
S (0.695, 0.305, 0.330)
S (0.695, 0.305, 0.670)
S (0.805, 0.805, 0.170)
S (0.805, 0.805, 0.830)
S (0.809, 0.809, 0.500)

(4)
Below is a geometry-optimized NdSnPt2 structure, with properties calculated at the PBE level.

Output
**Crystal system**: orthorhombic
**Energy**: -98.299 eV per cell
**Mass density**: 12.37 g cm⁻³
**DFT formation energy**: -0.93 eV per atom

Cell lengths 7.571, 7.209, 6.425 Å; angles 90.00, 90.00, 90.00 degrees
Element x y z (fractional)
Nd (0.023, 0.250, 0.171)
Nd (0.477, 0.750, 0.671)
Nd (0.523, 0.250, 0.329)
Nd (0.977, 0.750, 0.829)
Sn (0.117, 0.750, 0.335)
Sn (0.383, 0.250, 0.835)
Sn (0.617, 0.750, 0.165)
Sn (0.883, 0.250, 0.665)
Pt (0.191, 0.052, 0.559)
Pt (0.191, 0.448, 0.559)
Pt (0.309, 0.552, 0.059)
Pt (0.309, 0.948, 0.059)
Pt (0.691, 0.052, 0.941)
Pt (0.691, 0.448, 0.941)
Pt (0.809, 0.552, 0.441)
Pt (0.809, 0.948, 0.441)

(5)
Below is a geometry-optimized LiTcAg2 structure, with properties calculated at the PBE level.

Output
**Crystal system**: trigonal
**Energy**: -16.898 eV per cell
**Mass density**: 8.29 g cm⁻³
**DFT formation energy**: 0.27 eV per atom

Cell lengths 9.607, 9.607, 9.607 Å; angles 16.75, 16.75, 16.75 degrees
Element x y z (fractional)
Li (0.000, 0.000, 0.000)
Tc (0.500, 0.500, 0.500)
Ag (0.252, 0.252, 0.252)
Ag (0.748, 0.748, 0.748)

(6)
Below is a geometry-optimized CsNa3Mn4Br12 structure, with properties calculated at the PBE level.

Output
**Energy relative to the elements, uncorrected**: -1.034 eV/atom
**Crystal system**: trigonal
**Energy**: -82.252 eV per cell
**Mass density**: 3.00 g cm⁻³

Cell lengths 9.676, 9.676, 9.676 Å; angles 106.49, 106.49, 106.49 degrees
Element x y z (fractional)
Cs (0.000, 0.000, 0.000)
Na (0.000, 0.562, 0.438)
Na (0.438, 0.000, 0.562)
Na (0.562, 0.438, 0.000)
Mn (0.066, 0.500, 0.934)
Mn (0.500, 0.500, 0.500)
Mn (0.500, 0.934, 0.066)
Mn (0.934, 0.066, 0.500)
Br (0.070, 0.659, 0.779)
Br (0.091, 0.909, 0.500)
Br (0.221, 0.341, 0.930)
Br (0.341, 0.930, 0.221)
Br (0.344, 0.656, 0.500)
Br (0.500, 0.091, 0.909)
Br (0.500, 0.344, 0.656)
Br (0.656, 0.500, 0.344)
Br (0.659, 0.779, 0.070)
Br (0.779, 0.070, 0.659)
Br (0.909, 0.500, 0.091)
Br (0.930, 0.221, 0.341)

(7)
Below is a geometry-optimized Ac3TlHRh structure, with properties calculated at the PBE level.

Output
**Crystal system**: monoclinic
**Energy**: -56.803 eV per cell
**Mass density**: 8.59 g cm⁻³

Cell lengths 9.426, 4.301, 9.736 Å; angles 90.00, 104.22, 90.00 degrees
Element x y z (fractional)
Ac (0.053, 0.250, 0.333)
Ac (0.309, 0.250, 0.965)
Ac (0.376, 0.750, 0.634)
Ac (0.624, 0.250, 0.366)
Ac (0.691, 0.750, 0.035)
Ac (0.947, 0.750, 0.667)
Tl (0.317, 0.750, 0.251)
Tl (0.683, 0.250, 0.749)
H (0.425, 0.750, 0.910)
H (0.575, 0.250, 0.090)
Rh (0.166, 0.250, 0.655)
Rh (0.834, 0.750, 0.345)

(8)
Below is a geometry-optimized Ca3Sm3ErSe8 structure, with properties calculated at the PBE level.

Output
**Energy relative to the elements, uncorrected**: -1.926 eV/atom
**Crystal system**: trigonal
**Energy**: -81.496 eV per cell
**Mass density**: 5.53 g cm⁻³

Cell lengths 8.389, 8.389, 8.389 Å; angles 59.34, 59.34, 59.34 degrees
Element x y z (fractional)
Ca (0.000, 0.500, 0.500)
Ca (0.500, 0.000, 0.500)
Ca (0.500, 0.500, 0.000)
Sm (0.000, 0.000, 0.500)
Sm (0.000, 0.500, 0.000)
Sm (0.500, 0.000, 0.000)
Er (0.500, 0.500, 0.500)
Se (0.251, 0.251, 0.251)
Se (0.255, 0.744, 0.744)
Se (0.256, 0.256, 0.745)
Se (0.256, 0.745, 0.256)
Se (0.744, 0.255, 0.744)
Se (0.744, 0.744, 0.255)
Se (0.745, 0.256, 0.256)
Se (0.749, 0.749, 0.749)